Below is crystalline BaZr2Fe at its relaxed geometry, with properties calculated at the PBE level.

Geometry as extended XYZ:
```
4
Lattice="4.007 -0.056 -0.009 2.060 3.437 -0.009 2.043 1.139 8.022" Properties=species:S:1:pos:R:3 pbc="T T T"
Ba 4.061 2.263 3.945
Fe 2.020 1.126 0.035
Zr 6.067 3.382 1.066
Zr 6.083 3.391 6.940
```

Computed properties:
Total magnetic moment   0.00 μB per atom
Distance to the lowest polymorph of the same formula   0 kJ/mol of formula units
Density of states at the Fermi level   4.2 states/eV per cell
DFT formation energy   0.25 eV/atom

Below is crystalline Tl12Hg5As3 at its relaxed geometry, with properties calculated at the PBE level.

Geometry as extended XYZ:
```
20
Lattice="-4.110 -0.154 -1.917 5.426 -0.685 -11.576 -2.622 -10.723 6.486" Properties=species:S:1:pos:R:3 pbc="T T T"
Tl 4.529 -0.572 -9.663
Tl 0.463 -1.885 -0.841
Tl -2.189 -8.951 5.414
Tl 2.905 -0.367 -6.197
Tl 1.303 -5.302 -2.366
Tl -1.404 -5.740 3.472
Tl -2.218 -5.110 -0.203
Tl -2.732 -8.936 1.206
Tl 1.637 -3.487 -8.598
Tl -1.033 -8.317 -2.484
Tl 0.503 -6.401 -5.932
Tl -0.075 -2.437 -5.013
Hg 0.060 -7.377 0.465
Hg 2.743 -4.031 -5.556
Hg 1.556 -0.196 -3.319
Hg 2.000 -8.138 -3.631
Hg -0.752 -3.074 1.859
As 1.642 -0.544 -8.846
As -1.161 -3.713 -2.581
As -3.841 -7.383 3.460
```

Computed properties:
Total magnetic moment   0.00 μB per atom
Distance to the lowest polymorph of the same formula   0 kJ/mol of formula units
Density of states at the Fermi level   6.4 states/eV per cell
DFT formation energy   0.01 eV/atom

Below is crystalline Y2Cd2Au at its relaxed geometry, with properties calculated at the PBE level.

Geometry as extended XYZ:
```
5
Lattice="-1.911 3.127 2.534 -4.018 -1.311 -1.412 -3.347 -3.596 5.830" Properties=species:S:1:pos:R:3 pbc="T T T"
Y -4.111 0.220 4.463
Y -5.164 -1.999 2.489
Au 0.000 0.000 0.000
Cd -3.037 0.057 1.557
Cd -6.239 -1.836 5.395
```

Computed properties:
Total magnetic moment   0.00 μB per atom
Distance to the lowest polymorph of the same formula   317 kJ/mol of formula units
Density of states at the Fermi level   4.7 states/eV per cell
DFT formation energy   0.24 eV/atom

Below is crystalline Nd2Ge4Ir3Au at its relaxed geometry, with properties calculated at the PBE level.

Geometry as extended XYZ:
```
10
Lattice="4.352 0.000 0.000 0.000 4.352 0.000 0.000 0.000 10.171" Properties=species:S:1:pos:R:3 pbc="T T T"
Nd 2.176 0.000 2.424
Nd 0.000 2.176 7.747
Ge 2.176 2.176 0.000
Ge 0.000 0.000 0.000
Ge 2.176 0.000 6.500
Ge 0.000 2.176 3.671
Ir 0.000 0.000 5.085
Ir 2.176 0.000 8.928
Ir 0.000 2.176 1.242
Au 2.176 2.176 5.085
```

Computed properties:
Total magnetic moment   0.00 μB per atom
Density of states at the Fermi level   6.1 states/eV per cell
DFT formation energy   -0.68 eV/atom

Below is crystalline CeDyHg4 at its relaxed geometry, with properties calculated at the PBE level.

Geometry as extended XYZ:
```
6
Lattice="-0.604 -0.164 4.996 4.603 -2.576 3.000 0.960 5.288 2.817" Properties=species:S:1:pos:R:3 pbc="T T T"
Ce -0.604 -0.164 4.996
Dy 2.480 1.274 5.407
Hg 3.116 3.226 8.080
Hg 4.331 0.601 8.141
Hg 1.843 -0.677 2.733
Hg 0.628 1.947 2.672
```

Computed properties:
Total magnetic moment   0.22 μB per atom
Distance to the lowest polymorph of the same formula   0 kJ/mol of formula units
Density of states at the Fermi level   8.1 states/eV per cell
DFT formation energy   -0.36 eV/atom

Below is crystalline DyGaPd6 at its relaxed geometry, with properties calculated at the PBE level.

Geometry as extended XYZ:
```
8
Lattice="-5.236 -1.107 0.007 1.131 -5.197 0.597 -0.092 0.623 5.315" Properties=species:S:1:pos:R:3 pbc="T T T"
Dy 0.000 0.000 0.000
Ga -2.099 -2.841 2.960
Pd -0.318 -2.925 1.261
Pd -0.772 -0.767 3.011
Pd -3.879 -2.756 4.658
Pd -1.518 -4.272 4.876
Pd -3.426 -4.914 2.909
Pd -2.679 -1.409 1.043
```

Computed properties:
Total magnetic moment   0.00 μB per atom
Distance to the lowest polymorph of the same formula   346 kJ/mol of formula units
Density of states at the Fermi level   3.6 states/eV per cell
DFT formation energy   -0.22 eV/atom

no.,calculated total energy (eV per cell)
1,-26.467
2,-43.665
3,-16.850
4,-64.683
5,-13.893
6,-40.562